Model 1:
A relaxed CsMgNi3 crystal, computed with GGA-PBE.

Unit cell a=4.7879 b=4.7879 c=4.7879 alpha=90.00 beta=90.00 gamma=90.00
Space group Pm-3m (No. 221)
Asymmetric unit:
Cs1 0.0000 0.0000 0.0000
Mg1 0.5000 0.5000 0.5000
Ni1 0.0000 0.5000 0.5000

Computed properties:
total magnetization	0.0	Bohr magnetons per cell

=====

Model 2:
A relaxed CsMgNi3 crystal, computed with GGA-PBE.

Unit cell a=4.8537 b=4.8537 c=4.8537 alpha=90.00 beta=90.00 gamma=90.00
Space group Pm-3m (No. 221)
Asymmetric unit:
Cs1 0.0000 0.0000 0.0000
Mg1 0.5000 0.5000 0.5000
Ni1 0.0000 0.0000 0.5000

Computed properties:
total magnetization	0.0	Bohr magnetons per cell

=====

The calculated energies rank the structures as follows, beginning with the most stable: model 1, model 2.

=====

Model 1:
A relaxed CsMg3Ni crystal, computed with GGA-PBE.

Unit cell a=5.2083 b=5.2083 c=5.2083 alpha=90.00 beta=90.00 gamma=90.00
Space group Pm-3m (No. 221)
Asymmetric unit:
Cs1 0.0000 0.0000 0.0000
Mg1 0.0000 0.5000 0.5000
Ni1 0.5000 0.5000 0.5000

Computed properties:
total magnetization	0.0	Bohr magnetons per cell

=====

Model 2:
A relaxed CsMg3Ni crystal, computed with GGA-PBE.

Unit cell a=6.8803 b=6.8803 c=6.8803 alpha=90.00 beta=90.00 gamma=90.00
Space group Pm-3m (No. 221)
Asymmetric unit:
Cs1 0.0000 0.0000 0.0000
Mg1 0.0000 0.0000 0.5000
Ni1 0.5000 0.5000 0.5000

Computed properties:
total magnetization	1.0	Bohr magnetons per cell

=====

The calculated energies rank the structures as follows, beginning with the most stable: model 1, model 2.

=====

Model 1:
A relaxed CsMg2Ni crystal, computed with GGA-PBE.

Unit cell a=7.6395 b=7.6395 c=7.6395 alpha=90.00 beta=90.00 gamma=90.00
Space group Fm-3m (No. 225)
Asymmetric unit:
Cs1 0.0000 0.0000 0.0000
Mg1 0.2500 0.2500 0.2500
Ni1 0.0000 0.0000 0.5000

Computed properties:
total magnetization	0.0	Bohr magnetons per cell

=====

Model 2:
A relaxed CsMg2Ni crystal, computed with GGA-PBE.

Unit cell a=7.7610 b=7.7610 c=10.9431 alpha=90.00 beta=90.00 gamma=90.00
Space group I4_1/amd (No. 141, origin choice 2)
Asymmetric unit:
Cs1 0.0000 0.2500 0.3750
Mg1 0.0000 0.0000 0.0000
Ni1 0.0000 0.2500 0.8750

Computed properties:
total magnetization	0.0	Bohr magnetons per cell

=====

The calculated energies rank the structures as follows, beginning with the most stable: model 2, model 1.

=====

Model 1:
A relaxed CsMg6SiO8 crystal, computed with GGA-PBE.

Unit cell a=4.2119 b=6.8208 c=7.4023 alpha=90.38 beta=90.02 gamma=90.47
Space group P1 (No. 1)
Asymmetric unit:
Cs1 0.0000 0.0000 0.0000
Mg1 0.4871 0.7416 0.2780
Mg2 0.4874 0.7484 0.7132
Mg3 0.4884 0.2527 0.4923
Mg4 0.9878 0.9368 0.4948
Mg5 0.9909 0.4488 0.2662
Mg6 0.9915 0.4547 0.7163
Si1 0.5250 0.4604 0.9907
O1 0.4844 0.4329 0.2534
O2 0.4845 0.7040 0.9952
O3 0.4848 0.4399 0.7283
O4 0.4880 0.9512 0.4937
O5 0.9144 0.4014 0.9900
O6 0.9869 0.7390 0.2969
O7 0.9872 0.7471 0.6964
O8 0.9881 0.2614 0.4919

Computed properties:
total magnetization	0.0	Bohr magnetons per cell

=====

Model 2:
A relaxed CsMg6SiO8 crystal, computed with GGA-PBE.

Unit cell a=4.9054 b=4.9054 c=8.3639 alpha=90.00 beta=90.00 gamma=90.00
Space group P4/mmm (No. 123)
Asymmetric unit:
Cs1 0.0000 0.0000 0.0000
Mg1 0.0000 0.5000 0.2524
Mg2 0.5000 0.5000 0.0000
Mg3 0.5000 0.5000 0.5000
Si1 0.0000 0.0000 0.5000
O1 0.0000 0.0000 0.3049
O2 0.0000 0.5000 0.0000
O3 0.0000 0.5000 0.5000
O4 0.5000 0.5000 0.2515

Computed properties:
total magnetization	0.0	Bohr magnetons per cell

=====

The calculated energies rank the structures as follows, beginning with the most stable: model 1, model 2.

=====

Model 1:
A relaxed CsMg2Os crystal, computed with GGA-PBE.

Unit cell a=6.0873 b=6.0873 c=16.8456 alpha=90.00 beta=90.00 gamma=90.00
Space group I4_1/amd (No. 141, origin choice 2)
Asymmetric unit:
Cs1 0.0000 0.2500 0.3750
Mg1 0.0000 0.0000 0.0000
Os1 0.0000 0.2500 0.8750

Computed properties:
total magnetization	3.6	Bohr magnetons per cell

=====

Model 2:
A relaxed CsMg2Os crystal, computed with GGA-PBE.

Unit cell a=7.2673 b=7.2673 c=7.2673 alpha=90.00 beta=90.00 gamma=90.00
Space group Fm-3m (No. 225)
Asymmetric unit:
Cs1 0.0000 0.0000 0.0000
Mg1 0.2500 0.2500 0.2500
Os1 0.0000 0.0000 0.5000

Computed properties:
total magnetization	2.7	Bohr magnetons per cell

=====

The calculated energies rank the structures as follows, beginning with the most stable: model 1, model 2.

=====

Model 1:
A relaxed Cs2MgOs crystal, computed with GGA-PBE.

Unit cell a=8.5888 b=8.5888 c=8.5888 alpha=90.00 beta=90.00 gamma=90.00
Space group Fm-3m (No. 225)
Asymmetric unit:
Cs1 0.2500 0.2500 0.2500
Mg1 0.0000 0.0000 0.0000
Os1 0.0000 0.0000 0.5000

Computed properties:
total magnetization	8.3	Bohr magnetons per cell

=====

Model 2:
A relaxed Cs2MgOs crystal, computed with GGA-PBE.

Unit cell a=9.3542 b=9.3542 c=13.3554 alpha=90.00 beta=90.00 gamma=90.00
Space group I-42d (No. 122)
Asymmetric unit:
Cs1 0.0047 0.2500 0.1250
Mg1 0.0000 0.0000 0.5000
Os1 0.0000 0.0000 0.0000

Computed properties:
total magnetization	5.8	Bohr magnetons per cell

=====

The calculated energies rank the structures as follows, beginning with the most stable: model 1, model 2.

=====

Model 1:
A relaxed CsMg2Os2 crystal, computed with GGA-PBE.

Unit cell a=8.5924 b=8.5924 c=2.9936 alpha=90.00 beta=90.00 gamma=90.00
Space group P4/mbm (No. 127)
Asymmetric unit:
Cs1 0.0000 0.0000 0.0000
Mg1 0.1756 0.3244 0.5000
Os1 0.0967 0.5967 0.0000

Computed properties:
total magnetization	0.8	Bohr magnetons per cell

=====

Model 2:
A relaxed CsMg2Os2 crystal, computed with GGA-PBE.

Unit cell a=5.0954 b=5.0954 c=9.5063 alpha=90.00 beta=90.00 gamma=90.00
Space group I4/mmm (No. 139)
Asymmetric unit:
Cs1 0.0000 0.0000 0.0000
Mg1 0.0000 0.5000 0.2500
Os1 0.0000 0.0000 0.3799

Computed properties:
total magnetization	0.0	Bohr magnetons per cell

=====

The calculated energies rank the structures as follows, beginning with the most stable: model 1, model 2.

=====

Model 1:
A relaxed CsMg3Os crystal, computed with GGA-PBE.

Unit cell a=5.5492 b=5.5492 c=5.5492 alpha=90.00 beta=90.00 gamma=90.00
Space group Pm-3m (No. 221)
Asymmetric unit:
Cs1 0.0000 0.0000 0.0000
Mg1 0.0000 0.0000 0.5000
Os1 0.5000 0.5000 0.5000

Computed properties:
total magnetization	0.0	Bohr magnetons per cell

=====

Model 2:
A relaxed CsMg3Os crystal, computed with GGA-PBE.

Unit cell a=5.2737 b=5.2737 c=5.2737 alpha=90.00 beta=90.00 gamma=90.00
Space group Pm-3m (No. 221)
Asymmetric unit:
Cs1 0.0000 0.0000 0.0000
Mg1 0.0000 0.5000 0.5000
Os1 0.5000 0.5000 0.5000

Computed properties:
total magnetization	0.0	Bohr magnetons per cell

=====

The calculated energies rank the structures as follows, beginning with the most stable: model 2, model 1.